# PuUTcAu

A geometry-optimized PuUTcAu structure (PBE, Alexandria via LeMat-Bulk).

Output
energy = -9.927 eV per atom
mass density = 17.33 g/cm3
crystal system = cubic
energy of formation = -0.112 eV/atom

The structure in POSCAR format:
```
PuUTcAu
1.0
0.0000 3.3392 3.3392
3.3392 0.0000 3.3392
3.3392 3.3392 0.0000
Pu U Tc Au
1 1 1 1
Cartesian
0.0000 0.0000 0.0000
1.6696 1.6696 1.6696
3.3392 3.3392 3.3392
5.0087 5.0087 5.0087
```